DFT (PBE-GGA) results for an optimized crystal structure of RbTaAgTe2S.

Summary:
* E: -57.4 eV for the cell shown

a = 9.2507 Å, b = 9.2507 Å, c = 9.8330 Å
α = 90.00°, β = 90.00°, γ = 154.36°
Last column: nearest neighbours and their distance in Å.
Atoms (fractional coordinates):
1 Ag 0.9358 0.0642 0.2500  2 S 2.54, 2 Te 2.70
2 Ag 0.0642 0.9358 0.7500  2 S 2.54, 2 Te 2.70
3 Rb 0.2709 0.7291 0.2500  2 Ag 3.61, 6 Te 3.68-3.85
4 Rb 0.7291 0.2709 0.7500  2 Ag 3.61, 6 Te 3.68-3.85
5 S 0.5186 0.4814 0.2500  2 Ta 2.48, 2 Ag 2.54
6 S 0.4814 0.5186 0.7500  2 Ta 2.48, 2 Ag 2.54
7 Ta 0.5000 0.5000 0.0000  2 S 2.48
8 Ta 0.5000 0.5000 0.5000  2 S 2.48
9 Te 0.1157 0.8843 0.0076  1 Ag 2.70, 2 Ta 2.93
10 Te 0.1157 0.8843 0.4924  1 Ag 2.70, 2 Ta 2.93
11 Te 0.8843 0.1157 0.5076  1 Ag 2.70, 2 Ta 2.93
12 Te 0.8843 0.1157 0.9924  1 Ag 2.70, 2 Ta 2.93